DFT (PBE-GGA) results for an optimized crystal structure of Mg2CuSe2.

Summary:
Polymorph energy (0 for the lowest one) (eV per formula unit): 0.69
Raw formation energy (eV per atom): -0.56

Cell lengths 5.0033, 5.5786, 7.8887 Å; angles 90.00, 90.00, 90.00 degrees
Fractional positions:
Se 0.5000 0.5000 0.6089
Cu 0.0000 0.5000 0.7377
Mg 0.5000 0.5000 0.9384
Se 0.0000 0.0000 0.3911
Mg 0.0000 0.5000 0.4113
Mg 0.0000 0.0000 0.0616
Cu 0.5000 0.0000 0.2623
Mg 0.5000 0.0000 0.5887
Se 0.5000 0.0000 0.9411
Se 0.0000 0.5000 0.0589